Below is a crystal of Sm5Ru2 relaxed with PBEsol, with properties calculated at the meta-GGA SCAN level.

- DOS at the Fermi energy (states/eV per cell) = 20.188
- mass density (kg/m³) = 8707
- DFT total energy (eV per atom) = -42.037

Cell: 15.9127 6.3855 7.2153 Å, 90.00 97.00 90.00°
Closest atoms and distances in Å follow each position.
Space group C2/c (No. 15)
Symmetry-distinct sites (fractional):
Sm: 0.0000 0.0791 0.2500 (multiplicity 4)  4 Ru 2.88-2.96
Sm: 0.0929 0.3865 0.9147 (multiplicity 8)  2 Ru 2.75-2.81
Sm: 0.2171 0.0772 0.3109 (multiplicity 8)  3 Ru 2.82-3.07
Ru: 0.1110 0.2119 0.5741 (multiplicity 8)  7 Sm 2.75-3.07